# 1
A relaxed YCr2Ir crystal. Source: Alexandria via LeMat-Bulk, functional PBE.

Lattice parameters (Å, degrees): 3.8003 3.8003 9.0862 90.00 90.00 90.00
Closest atoms and distances in Å follow each position.
Element x y z (fractional)
Y1 0.0000 0.0000 0.0000  4 Ir 2.69, 8 Cr 2.96
Y2 0.5000 0.5000 0.5000  4 Ir 2.69, 8 Cr 2.96
Cr1 0.0000 0.5000 0.2500  4 Cr 2.69, 4 Ir 2.96, 4 Y 2.96
Cr2 0.0000 0.5000 0.7500  4 Cr 2.69, 4 Ir 2.96, 4 Y 2.96
Cr3 0.5000 0.0000 0.2500  4 Cr 2.69, 4 Ir 2.96, 4 Y 2.96
Cr4 0.5000 0.0000 0.7500  4 Cr 2.69, 4 Ir 2.96, 4 Y 2.96
Ir1 0.0000 0.0000 0.5000  4 Y 2.69, 8 Cr 2.96
Ir2 0.5000 0.5000 0.0000  4 Y 2.69, 8 Cr 2.96

Excess energy over the best structure of this formula in the dataset in meV per atom: 324
Formation enthalpy at 0 K in kcal/mol of atoms: 9.43
Space group: I4/mmm

=====

# 2
A relaxed BaSn crystal. Source: Alexandria via LeMat-Bulk, functional PBE.

Lattice parameters (Å, degrees): 10.3434 10.3434 10.3434 90.00 90.00 90.00
Closest atoms and distances in Å follow each position.
Element x y z (fractional)
Ba1 0.2060 0.2060 0.7940  4 Sn 3.41-3.54
Ba2 0.2060 0.7940 0.2060  4 Sn 3.41-3.54
Ba3 0.2940 0.2940 0.2940  4 Sn 3.41-3.54
Ba4 0.2940 0.7060 0.7060  4 Sn 3.41-3.54
Ba5 0.7060 0.2940 0.7060  4 Sn 3.41-3.54
Ba6 0.7060 0.7060 0.2940  4 Sn 3.41-3.54
Ba7 0.7940 0.2060 0.2060  4 Sn 3.41-3.54
Ba8 0.7940 0.7940 0.7940  4 Sn 3.41-3.54
Sn1 0.1037 0.1037 0.1037  3 Sn 3.04
Sn2 0.1037 0.8963 0.8963  3 Sn 3.04
Sn3 0.3963 0.3963 0.6037  3 Sn 3.04
Sn4 0.3963 0.6037 0.3963  3 Sn 3.04
Sn5 0.6037 0.3963 0.3963  3 Sn 3.04
Sn6 0.6037 0.6037 0.6037  3 Sn 3.04
Sn7 0.8963 0.1037 0.8963  3 Sn 3.04
Sn8 0.8963 0.8963 0.1037  3 Sn 3.04

Formation enthalpy at 0 K in kcal/mol of atoms: -2.87
Space group: I-43m

=====

# 3
A relaxed PmErTh crystal. Source: Alexandria via LeMat-Bulk, functional PBE.

Lattice parameters (Å, degrees): 6.2099 3.5863 17.6114 90.00 96.79 90.00
Closest atoms and distances in Å follow each position.
Element x y z (fractional)
Pm1 0.1948 0.0000 0.0865  9 Pm 3.59-3.67, 3 Er 3.60
Pm2 0.3052 0.5000 0.9135  9 Pm 3.59-3.67, 3 Er 3.60
Pm3 0.6948 0.5000 0.0865  9 Pm 3.59-3.67, 3 Er 3.60
Pm4 0.8052 0.0000 0.9135  9 Pm 3.59-3.67, 3 Er 3.60
Er1 0.0825 0.0000 0.7454  3 Th 3.53-3.54, 6 Er 3.59, 3 Pm 3.60
Er2 0.4175 0.5000 0.2546  3 Th 3.53-3.54, 6 Er 3.59, 3 Pm 3.60
Er3 0.5825 0.5000 0.7454  3 Th 3.53-3.54, 6 Er 3.59, 3 Pm 3.60
Er4 0.9175 0.0000 0.2546  3 Th 3.53-3.54, 6 Er 3.59, 3 Pm 3.60
Th1 0.1395 0.5000 0.4185  9 Th 3.52-3.59, 3 Er 3.53-3.54
Th2 0.3605 0.0000 0.5815  9 Th 3.52-3.59, 3 Er 3.53-3.54
Th3 0.6395 0.0000 0.4185  9 Th 3.52-3.59, 3 Er 3.53-3.54
Th4 0.8605 0.5000 0.5815  9 Th 3.52-3.59, 3 Er 3.53-3.54

Excess energy over the best structure of this formula in the dataset in meV per atom: 0
Formation enthalpy at 0 K in kcal/mol of atoms: 0.59
Space group: C2/m